<A>
# ZnAgRh3 | the Alexandria database | GGA-PBE | optimized geometry
# crystal system = cubic
data_ZnAgRh3
_chemical_formula_sum 'Zn1 Ag1 Rh3'
_symmetry_space_group_name_H-M 'P m -3 m'
_symmetry_Int_Tables_number 221
_symmetry_space_group_name_Hall '-P 4 2 3'
_cell_length_a 4.5586
_cell_length_b 4.5586
_cell_length_c 4.5586
_cell_angle_alpha 90.00
_cell_angle_beta 90.00
_cell_angle_gamma 90.00
loop_
_atom_site_label
_atom_site_type_symbol
_atom_site_fract_x
_atom_site_fract_y
_atom_site_fract_z
_atom_site_occupancy
Zn1 Zn 0.0000 0.0000 0.0000 1
Ag1 Ag 0.5000 0.5000 0.5000 1
Rh1 Rh 0.0000 0.0000 0.5000 1

<B>
# ZnAgRh3 | the Alexandria database | GGA-PBE | optimized geometry
# crystal system = cubic
data_ZnAgRh3
_chemical_formula_sum 'Zn1 Ag1 Rh3'
_symmetry_space_group_name_H-M 'P m -3 m'
_symmetry_Int_Tables_number 221
_symmetry_space_group_name_Hall '-P 4 2 3'
_cell_length_a 4.8187
_cell_length_b 4.8187
_cell_length_c 4.8187
_cell_angle_alpha 90.00
_cell_angle_beta 90.00
_cell_angle_gamma 90.00
loop_
_atom_site_label
_atom_site_type_symbol
_atom_site_fract_x
_atom_site_fract_y
_atom_site_fract_z
_atom_site_occupancy
Zn1 Zn 0.0000 0.0000 0.0000 1
Ag1 Ag 0.5000 0.5000 0.5000 1
Rh1 Rh 0.0000 0.5000 0.5000 1

Which structure wins on stability? <A> wins.

<A>
# ZnAg3Rh | the Alexandria database | GGA-PBE | optimized geometry
# crystal system = cubic
data_ZnAg3Rh
_chemical_formula_sum 'Zn1 Ag3 Rh1'
_symmetry_space_group_name_H-M 'P m -3 m'
_symmetry_Int_Tables_number 221
_symmetry_space_group_name_Hall '-P 4 2 3'
_cell_length_a 5.0507
_cell_length_b 5.0507
_cell_length_c 5.0507
_cell_angle_alpha 90.00
_cell_angle_beta 90.00
_cell_angle_gamma 90.00
loop_
_atom_site_label
_atom_site_type_symbol
_atom_site_fract_x
_atom_site_fract_y
_atom_site_fract_z
_atom_site_occupancy
Zn1 Zn 0.0000 0.0000 0.0000 1
Ag1 Ag 0.0000 0.5000 0.5000 1
Rh1 Rh 0.5000 0.5000 0.5000 1

<B>
# ZnAg3Rh | the Alexandria database | GGA-PBE | optimized geometry
# crystal system = cubic
data_ZnAg3Rh
_chemical_formula_sum 'Zn1 Ag3 Rh1'
_symmetry_space_group_name_H-M 'P m -3 m'
_symmetry_Int_Tables_number 221
_symmetry_space_group_name_Hall '-P 4 2 3'
_cell_length_a 4.6945
_cell_length_b 4.6945
_cell_length_c 4.6945
_cell_angle_alpha 90.00
_cell_angle_beta 90.00
_cell_angle_gamma 90.00
loop_
_atom_site_label
_atom_site_type_symbol
_atom_site_fract_x
_atom_site_fract_y
_atom_site_fract_z
_atom_site_occupancy
Zn1 Zn 0.0000 0.0000 0.0000 1
Ag1 Ag 0.0000 0.0000 0.5000 1
Rh1 Rh 0.5000 0.5000 0.5000 1

Which structure wins on stability? <B> wins.

<A>
# Zn4AgRh | the Alexandria database | GGA-PBE | optimized geometry
# crystal system = monoclinic
data_Zn4AgRh
_chemical_formula_sum 'Zn8 Ag2 Rh2'
_symmetry_space_group_name_H-M 'C 1 2/m 1'
_symmetry_Int_Tables_number 12
_cell_length_a 9.5992
_cell_length_b 2.9863
_cell_length_c 6.6406
_cell_angle_alpha 90.00
_cell_angle_beta 110.32
_cell_angle_gamma 90.00
loop_
_symmetry_equiv_pos_as_xyz
'x,y,z'
'-x,-y,-z'
'-x,y,-z'
'x,-y,z'
'x+1/2,y+1/2,z'
'-x+1/2,-y+1/2,-z'
'-x+1/2,y+1/2,-z'
'x+1/2,-y+1/2,z'
loop_
_atom_site_label
_atom_site_type_symbol
_atom_site_fract_x
_atom_site_fract_y
_atom_site_fract_z
_atom_site_occupancy
Zn1 Zn 0.1631 0.0000 0.3459 1
Zn2 Zn 0.1686 0.0000 0.8191 1
Ag1 Ag 0.0000 0.5000 0.0000 1
Rh1 Rh 0.0000 0.5000 0.5000 1

<B>
# Zn4AgRh | the Alexandria database | GGA-PBE | optimized geometry
# crystal system = cubic
data_Zn4AgRh
_chemical_formula_sum 'Zn16 Ag4 Rh4'
_symmetry_space_group_name_H-M 'F -4 3 m'
_symmetry_Int_Tables_number 216
_symmetry_space_group_name_Hall 'F -4 2 3'
_cell_length_a 7.0576
_cell_length_b 7.0576
_cell_length_c 7.0576
_cell_angle_alpha 90.00
_cell_angle_beta 90.00
_cell_angle_gamma 90.00
loop_
_atom_site_label
_atom_site_type_symbol
_atom_site_fract_x
_atom_site_fract_y
_atom_site_fract_z
_atom_site_occupancy
Zn1 Zn 0.1254 0.1254 0.1254 1
Ag1 Ag 0.2500 0.2500 0.7500 1
Rh1 Rh 0.0000 0.0000 0.5000 1

<C>
# Zn4AgRh | the Alexandria database | GGA-PBE | optimized geometry
# crystal system = monoclinic
data_Zn4AgRh
_chemical_formula_sum 'Zn8 Ag2 Rh2'
_symmetry_space_group_name_H-M 'C 1 2/m 1'
_symmetry_Int_Tables_number 12
_cell_length_a 4.2900
_cell_length_b 7.3753
_cell_length_c 5.6184
_cell_angle_alpha 90.00
_cell_angle_beta 90.30
_cell_angle_gamma 90.00
loop_
_symmetry_equiv_pos_as_xyz
'x,y,z'
'-x,-y,-z'
'-x,y,-z'
'x,-y,z'
'x+1/2,y+1/2,z'
'-x+1/2,-y+1/2,-z'
'-x+1/2,y+1/2,-z'
'x+1/2,-y+1/2,z'
loop_
_atom_site_label
_atom_site_type_symbol
_atom_site_fract_x
_atom_site_fract_y
_atom_site_fract_z
_atom_site_occupancy
Zn1 Zn 0.0009 0.1668 0.2334 1
Ag1 Ag 0.0000 0.5000 0.5000 1
Rh1 Rh 0.0000 0.5000 0.0000 1

Which structure wins on stability? <A> wins.

<A>
# ZrAg2Rh | the Alexandria database | GGA-PBE | optimized geometry
# crystal system = monoclinic
data_ZrAg2Rh
_chemical_formula_sum 'Zr1 Ag2 Rh1'
_symmetry_space_group_name_H-M 'P 1 2/m 1'
_symmetry_Int_Tables_number 10
_cell_length_a 2.9724
_cell_length_b 4.3958
_cell_length_c 5.4015
_cell_angle_alpha 90.00
_cell_angle_beta 90.18
_cell_angle_gamma 90.00
loop_
_symmetry_equiv_pos_as_xyz
'x,y,z'
'-x,-y,-z'
'-x,y,-z'
'x,-y,z'
loop_
_atom_site_label
_atom_site_type_symbol
_atom_site_fract_x
_atom_site_fract_y
_atom_site_fract_z
_atom_site_occupancy
Zr1 Zr 0.0000 0.0000 0.0000 1
Ag1 Ag 0.4990 0.5000 0.7434 1
Rh1 Rh 0.0000 0.0000 0.5000 1

<B>
# ZrAg2Rh | the Alexandria database | GGA-PBE | optimized geometry
# crystal system = tetragonal
data_ZrAg2Rh
_chemical_formula_sum 'Zr4 Ag8 Rh4'
_symmetry_space_group_name_H-M 'I -4 2 d'
_symmetry_Int_Tables_number 122
_symmetry_space_group_name_Hall 'I -4 2bw'
_cell_length_a 7.6936
_cell_length_b 7.6936
_cell_length_c 5.2516
_cell_angle_alpha 90.00
_cell_angle_beta 90.00
_cell_angle_gamma 90.00
loop_
_atom_site_label
_atom_site_type_symbol
_atom_site_fract_x
_atom_site_fract_y
_atom_site_fract_z
_atom_site_occupancy
Zr1 Zr 0.0000 0.0000 0.0000 1
Ag1 Ag 0.2277 0.7500 0.6250 1
Rh1 Rh 0.0000 0.0000 0.5000 1

Which structure wins on stability? <A> wins.

<A>
# ZrAg2Rh | the Alexandria database | GGA-PBE | optimized geometry
# crystal system = tetragonal
data_ZrAg2Rh
_chemical_formula_sum 'Zr2 Ag4 Rh2'
_symmetry_space_group_name_H-M 'I -4 m 2'
_symmetry_Int_Tables_number 119
_symmetry_space_group_name_Hall 'I -4 -2'
_cell_length_a 4.1455
_cell_length_b 4.1455
_cell_length_c 8.1251
_cell_angle_alpha 90.00
_cell_angle_beta 90.00
_cell_angle_gamma 90.00
loop_
_atom_site_label
_atom_site_type_symbol
_atom_site_fract_x
_atom_site_fract_y
_atom_site_fract_z
_atom_site_occupancy
Zr1 Zr 0.0000 0.0000 0.0000 1
Ag1 Ag 0.0000 0.0000 0.5000 1
Ag2 Ag 0.0000 0.5000 0.2500 1
Rh1 Rh 0.0000 0.5000 0.7500 1

<B>
# ZrAg2Rh | the Alexandria database | GGA-PBE | optimized geometry
# crystal system = cubic
data_ZrAg2Rh
_chemical_formula_sum 'Zr4 Ag8 Rh4'
_symmetry_space_group_name_H-M 'F m -3 m'
_symmetry_Int_Tables_number 225
_symmetry_space_group_name_Hall '-F 4 2 3'
_cell_length_a 6.5852
_cell_length_b 6.5852
_cell_length_c 6.5852
_cell_angle_alpha 90.00
_cell_angle_beta 90.00
_cell_angle_gamma 90.00
loop_
_atom_site_label
_atom_site_type_symbol
_atom_site_fract_x
_atom_site_fract_y
_atom_site_fract_z
_atom_site_occupancy
Zr1 Zr 0.0000 0.0000 0.0000 1
Ag1 Ag 0.2500 0.2500 0.2500 1
Rh1 Rh 0.0000 0.0000 0.5000 1

<C>
# ZrAg2Rh | the Alexandria database | GGA-PBE | optimized geometry
# crystal system = tetragonal
data_ZrAg2Rh
_chemical_formula_sum 'Zr1 Ag2 Rh1'
_symmetry_space_group_name_H-M 'P 4/m m m'
_symmetry_Int_Tables_number 123
_symmetry_space_group_name_Hall '-P 4 2'
_cell_length_a 3.6613
_cell_length_b 3.6613
_cell_length_c 5.4085
_cell_angle_alpha 90.00
_cell_angle_beta 90.00
_cell_angle_gamma 90.00
loop_
_atom_site_label
_atom_site_type_symbol
_atom_site_fract_x
_atom_site_fract_y
_atom_site_fract_z
_atom_site_occupancy
Zr1 Zr 0.0000 0.0000 0.0000 1
Ag1 Ag 0.5000 0.5000 0.2556 1
Rh1 Rh 0.0000 0.0000 0.5000 1

<D>
# ZrAg2Rh | the Alexandria database | GGA-PBE | optimized geometry
# crystal system = cubic
data_ZrAg2Rh
_chemical_formula_sum 'Zr4 Ag8 Rh4'
_symmetry_space_group_name_H-M 'F -4 3 m'
_symmetry_Int_Tables_number 216
_symmetry_space_group_name_Hall 'F -4 2 3'
_cell_length_a 6.5822
_cell_length_b 6.5822
_cell_length_c 6.5822
_cell_angle_alpha 90.00
_cell_angle_beta 90.00
_cell_angle_gamma 90.00
loop_
_atom_site_label
_atom_site_type_symbol
_atom_site_fract_x
_atom_site_fract_y
_atom_site_fract_z
_atom_site_occupancy
Zr1 Zr 0.0000 0.0000 0.0000 1
Ag1 Ag 0.0000 0.0000 0.5000 1
Ag2 Ag 0.2500 0.2500 0.2500 1
Rh1 Rh 0.2500 0.2500 0.7500 1

Which structure wins on stability? <A> wins.

<A>
# ZrAg2Rh | the Alexandria database | GGA-PBE | optimized geometry
# crystal system = tetragonal
data_ZrAg2Rh
_chemical_formula_sum 'Zr1 Ag2 Rh1'
_symmetry_space_group_name_H-M 'P 4/m m m'
_symmetry_Int_Tables_number 123
_symmetry_space_group_name_Hall '-P 4 2'
_cell_length_a 2.9740
_cell_length_b 2.9740
_cell_length_c 8.0688
_cell_angle_alpha 90.00
_cell_angle_beta 90.00
_cell_angle_gamma 90.00
loop_
_atom_site_label
_atom_site_type_symbol
_atom_site_fract_x
_atom_site_fract_y
_atom_site_fract_z
_atom_site_occupancy
Zr1 Zr 0.0000 0.0000 0.0000 1
Ag1 Ag 0.5000 0.5000 0.2685 1
Rh1 Rh 0.0000 0.0000 0.5000 1

<B>
# ZrAg2Rh | the Alexandria database | GGA-PBE | optimized geometry
# crystal system = orthorhombic
data_ZrAg2Rh
_chemical_formula_sum 'Zr2 Ag4 Rh2'
_symmetry_space_group_name_H-M 'C m m m'
_symmetry_Int_Tables_number 65
_symmetry_space_group_name_Hall '-C 2 2'
_cell_length_a 5.4030
_cell_length_b 8.6938
_cell_length_c 3.0349
_cell_angle_alpha 90.00
_cell_angle_beta 90.00
_cell_angle_gamma 90.00
loop_
_atom_site_label
_atom_site_type_symbol
_atom_site_fract_x
_atom_site_fract_y
_atom_site_fract_z
_atom_site_occupancy
Zr1 Zr 0.0000 0.0000 0.0000 1
Ag1 Ag 0.2500 0.2500 0.5000 1
Rh1 Rh 0.0000 0.5000 0.0000 1

<C>
# ZrAg2Rh | the Alexandria database | GGA-PBE | optimized geometry
# crystal system = trigonal
data_ZrAg2Rh
_chemical_formula_sum 'Zr3 Ag6 Rh3'
_symmetry_space_group_name_H-M 'R -3 m'
_symmetry_Int_Tables_number 166
_symmetry_space_group_name_Hall '-R 3 2"'
_cell_length_a 2.8920
_cell_length_b 2.8920
_cell_length_c 29.5643
_cell_angle_alpha 90.00
_cell_angle_beta 90.00
_cell_angle_gamma 120.00
loop_
_atom_site_label
_atom_site_type_symbol
_atom_site_fract_x
_atom_site_fract_y
_atom_site_fract_z
_atom_site_occupancy
Zr1 Zr 0.0000 0.0000 0.0000 1
Ag1 Ag 0.0000 0.0000 0.2453 1
Rh1 Rh 0.0000 0.0000 0.5000 1

Which structure wins on stability? <B> wins.

<A>
# ZrAg2Rh | the Alexandria database | GGA-PBE | optimized geometry
# crystal system = orthorhombic
data_ZrAg2Rh
_chemical_formula_sum 'Zr1 Ag2 Rh1'
_symmetry_space_group_name_H-M 'P m m m'
_symmetry_Int_Tables_number 47
_cell_length_a 3.7170
_cell_length_b 3.9880
_cell_length_c 4.7945
_cell_angle_alpha 90.00
_cell_angle_beta 90.00
_cell_angle_gamma 90.00
loop_
_symmetry_equiv_pos_as_xyz
'x,y,z'
'-x,-y,-z'
'-x,-y,z'
'x,y,-z'
'x,-y,-z'
'-x,y,z'
'-x,y,-z'
'x,-y,z'
loop_
_atom_site_label
_atom_site_type_symbol
_atom_site_fract_x
_atom_site_fract_y
_atom_site_fract_z
_atom_site_occupancy
Zr1 Zr 0.0000 0.0000 0.0000 1
Ag1 Ag 0.0000 0.5000 0.5000 1
Ag2 Ag 0.5000 0.0000 0.5000 1
Rh1 Rh 0.5000 0.5000 0.0000 1

<B>
# ZrAg2Rh | the Alexandria database | GGA-PBE | optimized geometry
# crystal system = orthorhombic
data_ZrAg2Rh
_chemical_formula_sum 'Zr1 Ag2 Rh1'
_symmetry_space_group_name_H-M 'P m m 2'
_symmetry_Int_Tables_number 25
_cell_length_a 3.4264
_cell_length_b 3.5360
_cell_length_c 5.9564
_cell_angle_alpha 90.00
_cell_angle_beta 90.00
_cell_angle_gamma 90.00
loop_
_symmetry_equiv_pos_as_xyz
'x,y,z'
'-x,-y,z'
'-x,y,z'
'x,-y,z'
loop_
_atom_site_label
_atom_site_type_symbol
_atom_site_fract_x
_atom_site_fract_y
_atom_site_fract_z
_atom_site_occupancy
Zr1 Zr 0.0000 0.0000 0.0000 1
Ag1 Ag 0.0000 0.0000 0.4809 1
Ag2 Ag 0.5000 0.5000 0.7095 1
Rh1 Rh 0.5000 0.5000 0.2057 1

Which structure wins on stability? <B> wins.

<A>
# ZrAg2Rh | the Alexandria database | GGA-PBE | optimized geometry
# crystal system = monoclinic
data_ZrAg2Rh
_chemical_formula_sum 'Zr2 Ag4 Rh2'
_symmetry_space_group_name_H-M 'C 1 2/m 1'
_symmetry_Int_Tables_number 12
_cell_length_a 5.4282
_cell_length_b 10.2237
_cell_length_c 3.0707
_cell_angle_alpha 90.00
_cell_angle_beta 121.52
_cell_angle_gamma 90.00
loop_
_symmetry_equiv_pos_as_xyz
'x,y,z'
'-x,-y,-z'
'-x,y,-z'
'x,-y,z'
'x+1/2,y+1/2,z'
'-x+1/2,-y+1/2,-z'
'-x+1/2,y+1/2,-z'
'x+1/2,-y+1/2,z'
loop_
_atom_site_label
_atom_site_type_symbol
_atom_site_fract_x
_atom_site_fract_y
_atom_site_fract_z
_atom_site_occupancy
Zr1 Zr 0.0000 0.0000 0.0000 1
Ag1 Ag 0.2500 0.2500 0.5000 1
Rh1 Rh 0.0000 0.5000 0.0000 1

<B>
# ZrAg2Rh | the Alexandria database | GGA-PBE | optimized geometry
# crystal system = tetragonal
data_ZrAg2Rh
_chemical_formula_sum 'Zr2 Ag4 Rh2'
_symmetry_space_group_name_H-M 'I 4/m m m'
_symmetry_Int_Tables_number 139
_symmetry_space_group_name_Hall '-I 4 2'
_cell_length_a 3.8896
_cell_length_b 3.8896
_cell_length_c 9.2153
_cell_angle_alpha 90.00
_cell_angle_beta 90.00
_cell_angle_gamma 90.00
loop_
_atom_site_label
_atom_site_type_symbol
_atom_site_fract_x
_atom_site_fract_y
_atom_site_fract_z
_atom_site_occupancy
Zr1 Zr 0.0000 0.0000 0.0000 1
Ag1 Ag 0.0000 0.5000 0.2500 1
Rh1 Rh 0.0000 0.0000 0.5000 1

Which structure wins on stability? <B> wins.